Record 1
Entry from OQMD via LeMat-Bulk: SmTcAsO after structural relaxation (GGA-PBE).

As for the crystal system: tetragonal.

The space group is P4/nmm (No. 129, origin choice 2) and the conventional cell measures 3.997, 3.997 and 8.710 Å, with angles of 90.00, 90.00 and 90.00 degrees. Symmetry generates all atoms from Sm at (0.250, 0.250, 0.133), Tc at (0.250, 0.750, 0.500), As at (0.250, 0.250, 0.674) and O at (0.250, 0.750, 0.000).



Record 2
Entry from OQMD via LeMat-Bulk: SmTcAsO after structural relaxation (GGA-PBE).

As for the crystal system: orthorhombic.

The space group is Pmc2_1 (No. 26) and the conventional cell measures 4.262, 4.256 and 7.346 Å, with angles of 90.00, 90.00 and 90.00 degrees. Symmetry generates all atoms from Sm at (0.000, 0.245, 0.000), Tc at (0.500, 0.261, 0.334), As at (0.500, 0.240, 0.667) and O at (0.000, 0.259, 0.333).



Record 3
Entry from OQMD via LeMat-Bulk: SmTcAsO after structural relaxation (GGA-PBE).

As for the crystal system: orthorhombic.

The space group is Pmc2_1 (No. 26) and the conventional cell measures 4.132, 6.340 and 5.708 Å, with angles of 90.00, 90.00 and 90.00 degrees. Symmetry generates all atoms from Sm at (0.000, 0.172, 0.000), Tc at (0.500, 0.462, 0.768), As at (0.000, 0.323, 0.514) and O at (0.500, 0.265, 0.068).



Number 1: size of the total moment 0.002 μB/atom, DFT total energy -7.9227 eV/atom. Number 2: size of the total moment 0.052 μB/atom, DFT total energy -7.4888 eV/atom. Number 3: size of the total moment 0.004 μB/atom, DFT total energy -7.3424 eV/atom.